This record from Alexandria describes an optimized crystal structure of Mo5Au. The functional is PBE.

Cell: 5.205 5.205 5.205 Å, 60.00 60.00 60.00°
Element x y z (fractional)
Mo: 0.876 0.375 0.375
Mo: 0.750 0.750 0.750
Mo: 0.375 0.876 0.375
Mo: 0.375 0.375 0.375
Mo: 0.375 0.375 0.876
Au: 0.000 0.000 0.000

Results
Density of states at the Fermi level: 4.6 states/eV per cell
Energy relative to the lowest polymorph listed for this composition: 122 meV per atom
Total magnetic moment: 0.00 μB/f.u.
Density: 11.27 g cm⁻³
Formation energy from the elements: 312 meV/atom